Compound: TlSe2Cl
Source: Alexandria
Functional: PBE-GGA
Structure: relaxed

Calculated values
- Formation energy from raw total energies: -0.34 eV/atom
- M_tot: 0.00 μB per cell
- Symmetry: Cm
- E: -3.1320 eV/atom

a b c (Å): 4.247 4.247 8.094
angles (deg): 75.65 75.65 70.77
Atoms (fractional coordinates):
1 Se 0.970 0.970 0.081
2 Se 0.253 0.253 0.173
3 Tl 0.490 0.490 0.530
4 Cl 0.788 0.788 0.716


Compound: TlSeCl3
Source: Alexandria
Functional: PBE-GGA
Structure: relaxed

Calculated values
- Formation energy from raw total energies: -0.54 eV/atom
- M_tot: 0.00 μB per cell
- Symmetry: P-1
- E: -2.8148 eV/atom

a b c (Å): 5.600 8.395 8.652
angles (deg): 79.11 121.49 84.76
Atoms (fractional coordinates):
1 Cl 0.947 0.604 0.524
2 Cl 0.538 0.300 0.258
3 Cl 0.710 0.999 0.098
4 Cl 0.776 0.906 0.685
5 Cl 0.670 0.605 0.991
6 Cl 0.814 0.299 0.791
7 Se 0.801 0.619 0.724
8 Se 0.684 0.285 0.058
9 Tl 0.276 0.724 0.130
10 Tl 0.209 0.180 0.653


Compound: Tl12Se6Cl
Source: Alexandria
Functional: PBE-GGA
Structure: relaxed

Calculated values
- Formation energy from raw total energies: -0.37 eV/atom
- M_tot: 0.00 μB per cell
- Symmetry: R-3
- E: -3.0614 eV/atom

a b c (Å): 9.003 9.003 9.003
angles (deg): 80.55 80.55 80.55
Atoms (fractional coordinates):
1 Tl 0.106 0.941 0.661
2 Tl 0.059 0.339 0.894
3 Tl 0.542 0.799 0.407
4 Tl 0.201 0.593 0.458
5 Tl 0.339 0.894 0.059
6 Tl 0.593 0.458 0.201
7 Tl 0.407 0.542 0.799
8 Tl 0.941 0.661 0.106
9 Tl 0.799 0.407 0.542
10 Tl 0.894 0.059 0.339
11 Tl 0.458 0.201 0.593
12 Tl 0.661 0.106 0.941
13 Se 0.720 0.431 0.877
14 Se 0.280 0.569 0.123
15 Se 0.569 0.123 0.280
16 Se 0.123 0.280 0.569
17 Se 0.877 0.720 0.431
18 Se 0.431 0.877 0.720
19 Cl 0.000 0.000 0.000


Compound: TlSe2Cl
Source: Alexandria
Functional: PBE-GGA
Structure: relaxed

Calculated values
- Formation energy from raw total energies: -0.08 eV/atom
- M_tot: 0.00 μB per cell
- Symmetry: Pmmm
- E: -2.8777 eV/atom

a b c (Å): 3.535 6.763 5.455
angles (deg): 90.00 90.00 90.00
Atoms (fractional coordinates):
1 Tl 0.500 0.500 0.250
2 Cl 0.500 0.500 0.750
3 Se 0.000 0.000 0.952
4 Se 0.000 0.000 0.548


Compound: TlSe2Cl
Source: Alexandria
Functional: PBE-GGA
Structure: relaxed

Calculated values
- Formation energy from raw total energies: -0.35 eV/atom
- M_tot: 0.00 μB per cell
- Symmetry: Pm
- E: -3.1427 eV/atom

a b c (Å): 4.061 3.832 8.485
angles (deg): 79.52 90.00 90.00
Atoms (fractional coordinates):
1 Se 0.000 0.128 0.050
2 Se 0.500 0.071 0.204
3 Cl 0.500 0.870 0.699
4 Tl 0.000 0.431 0.547


Compound: Tl2SeCl4
Source: Alexandria
Functional: PBE-GGA
Structure: relaxed

Calculated values
- Formation energy from raw total energies: -0.70 eV/atom
- M_tot: 0.00 μB per cell
- Symmetry: I4/mmm
- E: -2.9244 eV/atom

a b c (Å): 7.334 7.334 6.738
angles (deg): 122.97 122.97 90.00
Atoms (fractional coordinates):
1 Cl 0.738 0.262 0.000
2 Cl 0.262 0.262 0.000
3 Cl 0.262 0.738 0.000
4 Cl 0.738 0.738 0.000
5 Tl 0.750 0.250 0.500
6 Tl 0.250 0.750 0.500
7 Se 0.500 0.500 0.000


Compound: Tl2Se2Cl
Source: Alexandria
Functional: PBE-GGA
Structure: relaxed

Calculated values
- Formation energy from raw total energies: -0.48 eV/atom
- M_tot: 0.00 μB per cell
- Symmetry: I4/mmm
- E: -3.1858 eV/atom

a b c (Å): 3.977 3.977 9.593
angles (deg): 78.04 78.04 90.00
Atoms (fractional coordinates):
1 Se 0.250 0.750 0.500
2 Se 0.750 0.250 0.500
3 Tl 0.400 0.400 0.201
4 Tl 0.600 0.600 0.799
5 Cl 0.000 0.000 0.000


Compound: TlSe2Cl
Source: Alexandria
Functional: PBE-GGA
Structure: relaxed

Calculated values
- Formation energy from raw total energies: -0.33 eV/atom
- M_tot: 0.00 μB per cell
- Symmetry: P2/m
- E: -3.1215 eV/atom

a b c (Å): 7.198 4.734 4.094
angles (deg): 89.48 90.00 90.00
Atoms (fractional coordinates):
1 Cl 0.500 0.750 0.750
2 Tl 0.500 0.250 0.250
3 Se 0.000 0.117 0.999
4 Se 0.000 0.383 0.501


Compound: TlSe2Cl
Source: Alexandria
Functional: PBE-GGA
Structure: relaxed

Calculated values
- Formation energy from raw total energies: 0.44 eV/atom
- M_tot: 0.00 μB per cell
- Symmetry: R-3m
- E: -2.3571 eV/atom

a b c (Å): 10.550 10.550 10.550
angles (deg): 17.56 17.56 17.56
Atoms (fractional coordinates):
1 Cl 0.500 0.500 0.500
2 Se 0.092 0.092 0.092
3 Se 0.908 0.908 0.908
4 Tl 0.000 0.000 0.000


Compound: Tl3SeCl
Source: Alexandria
Functional: PBE-GGA
Structure: relaxed

Calculated values
- Formation energy from raw total energies: -0.56 eV/atom
- M_tot: 0.00 μB per cell
- Symmetry: P-1
- E: -3.0463 eV/atom

a b c (Å): 4.712 6.900 11.821
angles (deg): 102.07 89.79 110.19
Atoms (fractional coordinates):
1 Se 0.864 0.730 0.147
2 Se 0.136 0.270 0.853
3 Tl 0.630 0.261 0.007
4 Tl 0.868 0.729 0.408
5 Tl 0.102 0.206 0.214
6 Tl 0.132 0.271 0.592
7 Tl 0.370 0.739 0.993
8 Tl 0.898 0.794 0.786
9 Cl 0.380 0.754 0.601
10 Cl 0.620 0.246 0.399


Compound: Tl5Se2Cl
Source: Alexandria
Functional: PBE-GGA
Structure: relaxed

Calculated values
- Formation energy from raw total energies: -0.43 eV/atom
- M_tot: 0.00 μB per cell
- Symmetry: Cmcm
- E: -3.0091 eV/atom

a b c (Å): 6.565 7.275 13.985
angles (deg): 90.00 90.00 116.82
Atoms (fractional coordinates):
1 Cl 0.717 0.434 0.750
2 Cl 0.283 0.566 0.250
3 Tl 0.635 0.270 0.951
4 Tl 0.943 0.886 0.876
5 Tl 0.365 0.730 0.451
6 Tl 0.285 0.569 0.750
7 Tl 0.715 0.431 0.250
8 Tl 0.365 0.730 0.049
9 Tl 0.057 0.114 0.124
10 Tl 0.057 0.114 0.376
11 Tl 0.635 0.270 0.549
12 Tl 0.943 0.886 0.624
13 Se 0.165 0.330 0.566
14 Se 0.835 0.670 0.434
15 Se 0.835 0.670 0.066
16 Se 0.165 0.330 0.934


Compound: TlSe3Cl
Source: Alexandria
Functional: PBE-GGA
Structure: relaxed

Calculated values
- Formation energy from raw total energies: 0.52 eV/atom
- M_tot: 0.00 μB per cell
- Symmetry: Pm-3m
- E: -2.4116 eV/atom

a b c (Å): 5.153 5.153 5.153
angles (deg): 90.00 90.00 90.00
Atoms (fractional coordinates):
1 Se 0.000 0.000 0.500
2 Se 0.000 0.500 0.000
3 Se 0.500 0.000 0.000
4 Cl 0.000 0.000 0.000
5 Tl 0.500 0.500 0.500